Ho4TmTl7 GGA-PBE optimized geometry; space-group type = No. 12; D(E_F) = 6.0 states/eV/f.u.; total DFT energy (no corrections) = -3.371 eV/atom; energy of formation from the pure elements = -106.8 kJ/mol of formula units
1.0
5.619 0.000 0.000
2.810 9.428 0.020
2.810 0.385 6.771
Tl Ho Tm
7 4 1
Direct
0.917 0.326 0.839 Tl
0.633 0.455 0.278 Tl
0.787 0.896 0.530 Tl
0.367 0.545 0.722 Tl
0.500 0.000 0.000 Tl
0.213 0.104 0.470 Tl
0.083 0.674 0.161 Tl
0.281 0.326 0.111 Ho
0.416 0.783 0.384 Ho
0.584 0.217 0.616 Ho
0.719 0.674 0.889 Ho
0.000 0.000 0.000 Tm

=====

BaIr2Br GGA-PBE optimized geometry; space-group type = No. 225; D(E_F) = 4.8 states/eV/f.u.; total DFT energy (no corrections) = -4.172 eV/atom; ΔE to the lowest computed polymorph = 1350.6 meV/atom; formation energy from raw total energies = 1158 meV/atom
1.0
-5.002 -0.256 -0.253
-2.700 4.188 -0.568
-2.341 0.905 -4.342
Br Ba Ir
1 1 2
Direct
0.000 0.000 0.000 Br
0.500 0.500 0.500 Ba
0.750 0.750 0.750 Ir
0.250 0.250 0.250 Ir

=====

Cs3AgBi2 GGA-PBE optimized geometry; space-group type = No. 15; D(E_F) = 0.4 states/eV/f.u.; total DFT energy (no corrections) = -2.461 eV/atom; energy of formation from the pure elements = -153.8 kJ/mol of formula units
1.0
-4.919 0.387 6.683
-6.688 -2.222 -4.397
1.342 -8.875 1.875
Bi Cs Ag
4 6 2
Direct
0.495 0.931 0.844 Bi
0.931 0.495 0.344 Bi
0.505 0.069 0.156 Bi
0.069 0.505 0.656 Bi
0.113 0.225 0.987 Cs
0.775 0.887 0.513 Cs
0.595 0.405 0.750 Cs
0.887 0.775 0.013 Cs
0.225 0.113 0.487 Cs
0.405 0.595 0.250 Cs
0.759 0.241 0.250 Ag
0.241 0.759 0.750 Ag

=====

TbTaN2 GGA-PBE optimized geometry; space-group type = No. 62; D(E_F) = 0.5 states/eV/f.u.; total DFT energy (no corrections) = -9.724 eV/atom; formation energy from raw total energies = -1440 meV/atom
1.0
-1.853 1.004 2.496
3.752 -2.203 3.672
5.438 9.572 0.186
N Tb Ta
8 4 4
Direct
0.250 0.339 0.256 N
0.250 0.260 0.994 N
0.750 0.661 0.744 N
0.750 0.740 0.006 N
0.250 0.839 0.244 N
0.250 0.760 0.506 N
0.750 0.161 0.756 N
0.750 0.240 0.494 N
0.750 0.589 0.364 Tb
0.250 0.911 0.864 Tb
0.250 0.411 0.636 Tb
0.750 0.089 0.136 Tb
0.250 0.583 0.113 Ta
0.750 0.417 0.887 Ta
0.250 0.083 0.387 Ta
0.750 0.917 0.613 Ta

=====

Mg2TeH2 GGA-PBE optimized geometry; space-group type = No. 139; D(E_F) = 0.6 states/eV/f.u.; total DFT energy (no corrections) = -2.914 eV/atom; ΔE to the lowest computed polymorph = 0.0 meV/atom
1.0
-0.985 -3.314 -1.151
2.264 -1.514 2.421
-3.450 -2.507 4.402
Te Mg H
1 2 2
Direct
0.000 0.000 0.000 Te
0.656 0.656 0.688 Mg
0.344 0.344 0.312 Mg
0.750 0.250 0.500 H
0.250 0.750 0.500 H

=====

Be2CuBr GGA-PBE optimized geometry; space-group type = No. 12; D(E_F) = 1.0 states/eV/f.u.; total DFT energy (no corrections) = -2.642 eV/atom; ΔE to the lowest computed polymorph = 545.2 meV/atom; formation energy from raw total energies = 664 meV/atom
1.0
-4.776 -0.470 -0.379
3.279 -4.019 -0.563
0.760 -1.535 2.718
Br Cu Be
1 1 2
Direct
0.000 0.500 0.500 Br
0.500 0.500 0.000 Cu
0.500 0.000 0.500 Be
0.000 0.000 0.000 Be

=====

Tb7CePr12 GGA-PBE optimized geometry; space-group type = No. 148; D(E_F) = 31.0 states/eV/f.u.; total DFT energy (no corrections) = -4.559 eV/atom; ΔE to the lowest computed polymorph = 90.3 meV/atom; energy of formation from the pure elements = 435.4 kJ/mol of formula units
1.0
-3.756 4.257 2.673
-7.689 -5.894 -6.330
4.178 -5.300 9.401
Pr Tb Ce
12 7 1
Direct
0.573 0.646 0.001 Pr
0.073 0.645 0.646 Pr
0.428 0.001 0.355 Pr
0.427 0.354 0.999 Pr
0.927 0.355 0.354 Pr
0.501 0.589 0.413 Pr
0.088 0.177 0.589 Pr
0.089 0.587 0.177 Pr
0.911 0.413 0.823 Pr
0.572 0.999 0.645 Pr
0.912 0.823 0.411 Pr
0.499 0.411 0.587 Pr
0.119 0.759 0.002 Tb
0.117 0.998 0.757 Tb
0.883 0.002 0.243 Tb
0.881 0.241 0.998 Tb
0.639 0.757 0.759 Tb
0.500 0.000 0.000 Tb
0.361 0.243 0.241 Tb
0.000 0.000 0.000 Ce

=====

Zr7Tl3In GGA-PBE optimized geometry; space-group type = No. 12; D(E_F) = 12.0 states/eV/f.u.; total DFT energy (no corrections) = -6.140 eV/atom; energy of formation from the pure elements = 206.0 kJ/mol of formula units
1.0
5.428 -0.145 -0.186
-2.515 7.154 0.470
-2.515 -1.279 7.055
Zr Tl In
7 3 1
Direct
0.671 0.934 0.409 Zr
0.671 0.409 0.934 Zr
0.329 0.066 0.591 Zr
0.000 0.500 0.500 Zr
0.811 0.812 0.812 Zr
0.329 0.591 0.066 Zr
0.189 0.188 0.188 Zr
0.000 0.230 0.770 Tl
0.500 0.000 0.000 Tl
0.000 0.770 0.230 Tl
0.500 0.500 0.500 In

=====

Dy2Ho2Ge3 GGA-PBE optimized geometry; space-group type = No. 12; D(E_F) = 3.2 states/eV/f.u.; total DFT energy (no corrections) = -5.230 eV/atom; energy of formation from the pure elements = -424.1 kJ/mol of formula units
1.0
4.587 -0.005 0.001
-2.288 5.242 -0.415
-0.005 -1.129 7.968
Ge Dy Ho
3 2 2
Direct
0.000 0.000 0.000 Ge
0.207 0.415 0.720 Ge
0.793 0.585 0.280 Ge
0.129 0.257 0.352 Dy
0.871 0.743 0.648 Dy
0.638 0.276 0.914 Ho
0.362 0.724 0.086 Ho

=====

LiCePb GGA-PBE optimized geometry; space-group type = No. 107; D(E_F) = 7.8 states/eV/f.u.; total DFT energy (no corrections) = -3.990 eV/atom; ΔE to the lowest computed polymorph = 250.3 meV/atom; energy of formation from the pure elements = -39.9 kJ/mol of formula units
1.0
3.514 0.000 0.000
0.000 3.514 0.000
-1.757 -1.757 6.179
Li Pb Ce
1 1 1
Direct
0.307 0.307 0.614 Li
0.925 0.925 0.850 Pb
0.618 0.618 0.236 Ce

=====

Dy5Ho8Zr GGA-PBE optimized geometry; space-group type = No. 5; D(E_F) = 20.7 states/eV/f.u.; total DFT energy (no corrections) = -4.662 eV/atom; energy of formation from the pure elements = 281.3 kJ/mol of formula units
1.0
7.875 -1.486 -4.047
-4.378 7.307 -0.844
-1.284 1.486 8.761
Ho Dy Zr
8 5 1
Direct
0.115 0.700 0.049 Ho
0.902 0.564 0.586 Ho
0.998 0.063 0.563 Ho
0.511 0.638 0.234 Ho
0.596 0.362 0.874 Ho
0.022 0.436 0.338 Ho
0.349 0.300 0.415 Ho
0.501 0.937 0.935 Ho
0.967 0.247 0.940 Dy
0.905 0.814 0.192 Dy
0.496 0.000 0.496 Dy
0.693 0.753 0.719 Dy
0.378 0.186 0.092 Dy
0.317 0.500 0.817 Zr

=====

Sr3Tc GGA-PBE optimized geometry; space-group type = No. 71; D(E_F) = 5.4 states/eV/f.u.; total DFT energy (no corrections) = -3.200 eV/atom; energy of formation from the pure elements = 251.9 kJ/mol of formula units
1.0
7.734 0.447 -0.058
4.200 6.509 0.058
-5.170 -4.845 3.132
Tc Sr
1 3
Direct
0.583 0.000 0.583 Tc
0.761 0.678 0.083 Sr
0.405 0.322 0.083 Sr
0.083 0.500 0.583 Sr

=====

BaCd2Sn2 GGA-PBE optimized geometry; space-group type = No. 127; D(E_F) = 3.4 states/eV/f.u.; total DFT energy (no corrections) = -2.514 eV/atom; energy of formation from the pure elements = -78.4 kJ/mol of formula units
1.0
-7.484 -4.860 0.635
4.636 -7.395 -1.963
0.659 -0.544 3.608
Cd Sn Ba
4 4 2
Direct
0.841 0.341 0.500 Cd
0.159 0.659 0.500 Cd
0.659 0.841 0.500 Cd
0.341 0.159 0.500 Cd
0.632 0.132 0.000 Sn
0.868 0.632 0.000 Sn
0.132 0.368 0.000 Sn
0.368 0.868 0.000 Sn
0.500 0.500 0.000 Ba
0.000 0.000 0.000 Ba

=====

ReSb2Te GGA-PBE optimized geometry; space-group type = No. 216; D(E_F) = 2.2 states/eV/f.u.; total DFT energy (no corrections) = -5.158 eV/atom; formation energy from raw total energies = 801 meV/atom
1.0
-4.523 2.102 -0.035
-4.054 -2.792 0.805
-2.558 0.485 4.254
Te Sb Re
1 2 1
Direct
0.750 0.750 0.750 Te
0.000 0.000 0.000 Sb
0.250 0.250 0.250 Sb
0.500 0.500 0.500 Re

=====

CrAsHAu2 GGA-PBE optimized geometry; space-group type = No. 123; D(E_F) = 1.8 states/eV/f.u.; total DFT energy (no corrections) = -4.510 eV/atom
1.0
3.884 0.000 0.000
0.000 5.129 0.000
0.000 0.000 3.884
Au H Cr As
2 1 1 1
Direct
0.500 0.000 0.000 Au
0.000 0.000 0.500 Au
0.000 0.000 0.000 H
0.500 0.500 0.500 Cr
0.000 0.500 0.000 As

=====

RbZr3W GGA-PBE optimized geometry; space-group type = No. 221; D(E_F) = 5.9 states/eV/f.u.; total DFT energy (no corrections) = -6.932 eV/atom; ΔE to the lowest computed polymorph = 0.0 meV/atom; energy of formation from the pure elements = 473.5 kJ/mol of formula units
1.0
5.298 0.000 0.000
0.000 5.298 0.000
0.000 0.000 5.298
W Rb Zr
1 1 3
Direct
0.000 0.000 0.000 W
0.500 0.500 0.500 Rb
0.000 0.000 0.500 Zr
0.500 0.000 0.000 Zr
0.000 0.500 0.000 Zr

=====

TbTm4Tl GGA-PBE optimized geometry; space-group type = No. 123; D(E_F) = 6.2 states/eV/f.u.; total DFT energy (no corrections) = -4.248 eV/atom; ΔE to the lowest computed polymorph = 0.0 meV/atom; energy of formation from the pure elements = -58.6 kJ/mol of formula units
1.0
-1.520 0.427 -3.175
-1.534 -3.182 0.307
-11.130 5.957 6.128
Tm Tb Tl
4 1 1
Direct
0.500 0.500 0.823 Tm
0.000 0.000 0.650 Tm
0.000 0.000 0.350 Tm
0.500 0.500 0.177 Tm
0.000 0.000 0.000 Tb
0.500 0.500 0.500 Tl

=====

Zr2BiSe2 GGA-PBE optimized geometry; space-group type = No. 127; D(E_F) = 4.5 states/eV/f.u.; total DFT energy (no corrections) = -6.292 eV/atom; ΔE to the lowest computed polymorph = 165.6 meV/atom; formation energy from raw total energies = -703 meV/atom
1.0
8.131 0.000 0.000
0.000 8.131 0.000
0.000 0.000 3.311
Se Bi Zr
4 2 4
Direct
0.368 0.868 0.000 Se
0.632 0.132 0.000 Se
0.132 0.368 0.000 Se
0.868 0.632 0.000 Se
0.000 0.000 0.000 Bi
0.500 0.500 0.000 Bi
0.844 0.344 0.500 Zr
0.344 0.156 0.500 Zr
0.156 0.656 0.500 Zr
0.656 0.844 0.500 Zr

=====

YBe2BRu GGA-PBE optimized geometry; space-group type = No. 44; D(E_F) = 3.0 states/eV/f.u.; total DFT energy (no corrections) = -6.260 eV/atom; energy of formation from the pure elements = -137.8 kJ/mol of formula units
1.0
-1.405 -2.942 1.260
2.064 0.266 2.922
-4.003 4.097 0.252
Ru B Be Y
1 1 2 1
Direct
0.196 0.696 0.393 Ru
0.816 0.816 0.632 B
0.063 0.063 0.127 Be
0.703 0.203 0.406 Be
0.433 0.433 0.866 Y

=====

ZrFeN GGA-PBE optimized geometry; space-group type = No. 123; D(E_F) = 2.9 states/eV/f.u.; total DFT energy (no corrections) = -9.345 eV/atom; ΔE to the lowest computed polymorph = 0.0 meV/atom; formation energy from raw total energies = -899 meV/atom
1.0
3.226 0.000 0.000
0.000 3.226 0.000
0.000 0.000 3.743
Zr Fe N
1 1 1
Direct
0.000 0.000 0.500 Zr
0.500 0.500 0.000 Fe
0.500 0.500 0.500 N